# 1
Below is CaLa2W after structural relaxation, with properties calculated at the GGA-PBE level.

```
data_CaLa2W
_chemical_formula_sum 'Ca1 La2 W1'
_cell_length_a 3.678
_cell_length_b 3.678
_cell_length_c 8.835
_cell_angle_alpha 90.00
_cell_angle_beta 90.00
_cell_angle_gamma 90.00
_symmetry_space_group_name_H-M 'P 4 m m'
_symmetry_Int_Tables_number 99
_symmetry_space_group_name_Hall 'P 4 -2'
loop_
_atom_site_label
_atom_site_fract_x
_atom_site_fract_y
_atom_site_fract_z
Ca1 0.000 0.000 0.000
La1 0.000 0.000 0.615
La2 0.500 0.500 0.355
W1 0.500 0.500 0.779
```

Properties
ΔH_f (0 K)   63 kJ/mol of atoms
Crystal system   tetragonal
ΔE to the lowest computed polymorph   225 meV/atom

=====

# 2
Below is Ca2LaW after structural relaxation, with properties calculated at the GGA-PBE level.

```
data_Ca2LaW
_chemical_formula_sum 'Ca4 La2 W2'
_cell_length_a 3.394
_cell_length_b 4.834
_cell_length_c 16.436
_cell_angle_alpha 90.00
_cell_angle_beta 90.00
_cell_angle_gamma 90.00
_symmetry_space_group_name_H-M 'I m m m'
_symmetry_Int_Tables_number 71
_symmetry_space_group_name_Hall '-I 2 2'
loop_
_atom_site_label
_atom_site_fract_x
_atom_site_fract_y
_atom_site_fract_z
Ca1 0.000 0.000 0.167
La1 0.000 0.500 0.000
W1 0.000 0.500 0.500
```

Properties
ΔH_f (0 K)   63 kJ/mol of atoms
Crystal system   orthorhombic
ΔE to the lowest computed polymorph   29 meV/atom

=====

# 3
Below is CaLa2Y after structural relaxation, with properties calculated at the GGA-PBE level.

```
data_CaLa2Y
_chemical_formula_sum 'Ca2 La4 Y2'
_cell_length_a 5.277
_cell_length_b 5.277
_cell_length_c 10.524
_cell_angle_alpha 90.00
_cell_angle_beta 90.00
_cell_angle_gamma 90.00
_symmetry_space_group_name_H-M 'I -4 m 2'
_symmetry_Int_Tables_number 119
_symmetry_space_group_name_Hall 'I -4 -2'
loop_
_atom_site_label
_atom_site_fract_x
_atom_site_fract_y
_atom_site_fract_z
Ca1 0.000 0.000 0.000
La1 0.000 0.000 0.500
La2 0.000 0.500 0.750
Y1 0.000 0.500 0.250
```

Properties
ΔH_f (0 K)   10 kJ/mol of atoms
Crystal system   tetragonal
ΔE to the lowest computed polymorph   78 meV/atom

=====

# 4
Below is Ca2LaY2 after structural relaxation, with properties calculated at the GGA-PBE level.

```
data_Ca2LaY2
_chemical_formula_sum 'Ca4 La2 Y4'
_cell_length_a 4.729
_cell_length_b 4.729
_cell_length_c 17.294
_cell_angle_alpha 90.00
_cell_angle_beta 90.00
_cell_angle_gamma 90.00
_symmetry_space_group_name_H-M 'I 4/m m m'
_symmetry_Int_Tables_number 139
_symmetry_space_group_name_Hall '-I 4 2'
loop_
_atom_site_label
_atom_site_fract_x
_atom_site_fract_y
_atom_site_fract_z
Ca1 0.000 0.500 0.250
La1 0.000 0.000 0.000
Y1 0.000 0.000 0.410
```

Properties
ΔH_f (0 K)   39 kJ/mol of atoms
Crystal system   tetragonal
ΔE to the lowest computed polymorph   199 meV/atom

=====

# 5
Below is Ca2LaY after structural relaxation, with properties calculated at the GGA-PBE level.

```
data_Ca2LaY
_chemical_formula_sum 'Ca2 La1 Y1'
_cell_length_a 4.063
_cell_length_b 5.969
_cell_length_c 6.174
_cell_angle_alpha 90.00
_cell_angle_beta 90.00
_cell_angle_gamma 90.00
_symmetry_space_group_name_H-M 'P m m m'
_symmetry_Int_Tables_number 47
_symmetry_space_group_name_Hall '-P 2 2'
loop_
_atom_site_label
_atom_site_fract_x
_atom_site_fract_y
_atom_site_fract_z
Ca1 0.000 0.000 0.000
Ca2 0.500 0.500 0.000
La1 0.000 0.500 0.500
Y1 0.500 0.000 0.500
```

Properties
ΔH_f (0 K)   11 kJ/mol of atoms
Crystal system   orthorhombic
ΔE to the lowest computed polymorph   75 meV/atom

=====

# 6
Below is CaLa2Y after structural relaxation, with properties calculated at the GGA-PBE level.

```
data_CaLa2Y
_chemical_formula_sum 'Ca4 La8 Y4'
_cell_length_a 8.403
_cell_length_b 8.403
_cell_length_c 8.403
_cell_angle_alpha 90.00
_cell_angle_beta 90.00
_cell_angle_gamma 90.00
_symmetry_space_group_name_H-M 'F m -3 m'
_symmetry_Int_Tables_number 225
_symmetry_space_group_name_Hall '-F 4 2 3'
loop_
_atom_site_label
_atom_site_fract_x
_atom_site_fract_y
_atom_site_fract_z
Ca1 0.000 0.000 0.000
La1 0.250 0.250 0.250
Y1 0.000 0.000 0.500
```

Properties
ΔH_f (0 K)   9 kJ/mol of atoms
Crystal system   cubic
ΔE to the lowest computed polymorph   74 meV/atom

=====

# 7
Below is CaLa8Y2 after structural relaxation, with properties calculated at the GGA-PBE level.

```
data_CaLa8Y2
_chemical_formula_sum 'Ca2 La16 Y4'
_cell_length_a 18.940
_cell_length_b 5.291
_cell_length_c 8.292
_cell_angle_alpha 90.00
_cell_angle_beta 104.78
_cell_angle_gamma 90.00
_symmetry_space_group_name_H-M 'C 1 2/m 1'
_symmetry_Int_Tables_number 12
_symmetry_space_group_name_Hall '-C 2y'
loop_
_atom_site_label
_atom_site_fract_x
_atom_site_fract_y
_atom_site_fract_z
Ca1 0.000 0.000 0.000
La1 0.048 0.500 0.717
La2 0.093 0.000 0.462
La3 0.141 0.500 0.191
La4 0.184 0.000 0.911
Y1 0.227 0.500 0.635
```

Properties
ΔH_f (0 K)   3 kJ/mol of atoms
Crystal system   monoclinic

=====

# 8
Below is CaLa2Y after structural relaxation, with properties calculated at the GGA-PBE level.

```
data_CaLa2Y
_chemical_formula_sum 'Ca1 La2 Y1'
_cell_length_a 3.695
_cell_length_b 5.329
_cell_length_c 7.451
_cell_angle_alpha 90.00
_cell_angle_beta 90.04
_cell_angle_gamma 90.00
_symmetry_space_group_name_H-M 'P 1 m 1'
_symmetry_Int_Tables_number 6
_symmetry_space_group_name_Hall 'P -2y'
loop_
_atom_site_label
_atom_site_fract_x
_atom_site_fract_y
_atom_site_fract_z
Ca1 0.000 0.000 0.000
La1 0.000 0.000 0.496
La2 0.501 0.500 0.729
Y1 0.499 0.500 0.256
```

Properties
ΔH_f (0 K)   6 kJ/mol of atoms
Crystal system   monoclinic
ΔE to the lowest computed polymorph   43 meV/atom

=====

# 9
Below is CaLa2Y2 after structural relaxation, with properties calculated at the GGA-PBE level.

```
data_CaLa2Y2
_chemical_formula_sum 'Ca3 La6 Y6'
_cell_length_a 3.6848
_cell_length_b 3.6848
_cell_length_c 45.7678
_cell_angle_alpha 90.00
_cell_angle_beta 90.00
_cell_angle_gamma 120.00
_symmetry_space_group_name_H-M 'R -3 m'
_symmetry_Int_Tables_number 166
_symmetry_space_group_name_Hall '-R 3 2"'
loop_
_atom_site_label
_atom_site_fract_x
_atom_site_fract_y
_atom_site_fract_z
Ca1 0.0000 0.0000 0.0000
La1 0.0000 0.0000 0.4046
Y1 0.0000 0.0000 0.1982
```

Properties
ΔH_f (0 K)   3 kJ/mol of atoms
Crystal system   trigonal
ΔE to the lowest computed polymorph   0 meV/atom

=====

# 10
Below is Ca2LaY after structural relaxation, with properties calculated at the GGA-PBE level.

```
data_Ca2LaY
_chemical_formula_sum 'Ca4 La2 Y2'
_cell_length_a 5.179
_cell_length_b 5.179
_cell_length_c 11.246
_cell_angle_alpha 90.00
_cell_angle_beta 90.00
_cell_angle_gamma 90.00
_symmetry_space_group_name_H-M 'I 4/m m m'
_symmetry_Int_Tables_number 139
_symmetry_space_group_name_Hall '-I 4 2'
loop_
_atom_site_label
_atom_site_fract_x
_atom_site_fract_y
_atom_site_fract_z
Ca1 0.000 0.500 0.250
La1 0.000 0.000 0.000
Y1 0.000 0.000 0.500
```

Properties
ΔH_f (0 K)   15 kJ/mol of atoms
Crystal system   tetragonal
ΔE to the lowest computed polymorph   110 meV/atom

=====

# 11
Below is CaLa2Y after structural relaxation, with properties calculated at the GGA-PBE level.

```
data_CaLa2Y
_chemical_formula_sum 'Ca1 La2 Y1'
_cell_length_a 5.418
_cell_length_b 5.418
_cell_length_c 5.000
_cell_angle_alpha 90.00
_cell_angle_beta 90.00
_cell_angle_gamma 90.00
_symmetry_space_group_name_H-M 'P 4/m m m'
_symmetry_Int_Tables_number 123
_symmetry_space_group_name_Hall '-P 4 2'
loop_
_atom_site_label
_atom_site_fract_x
_atom_site_fract_y
_atom_site_fract_z
Ca1 0.000 0.000 0.000
La1 0.000 0.500 0.500
Y1 0.500 0.500 0.000
```

Properties
ΔH_f (0 K)   9 kJ/mol of atoms
Crystal system   tetragonal
ΔE to the lowest computed polymorph   70 meV/atom

=====

# 12
Below is Ca2LaY after structural relaxation, with properties calculated at the GGA-PBE level.

```
data_Ca2LaY
_chemical_formula_sum 'Ca4 La2 Y2'
_cell_length_a 4.044
_cell_length_b 5.985
_cell_length_c 12.392
_cell_angle_alpha 90.00
_cell_angle_beta 90.00
_cell_angle_gamma 90.00
_symmetry_space_group_name_H-M 'I m m m'
_symmetry_Int_Tables_number 71
_symmetry_space_group_name_Hall '-I 2 2'
loop_
_atom_site_label
_atom_site_fract_x
_atom_site_fract_y
_atom_site_fract_z
Ca1 0.000 0.000 0.243
La1 0.000 0.500 0.000
Y1 0.000 0.500 0.500
```

Properties
ΔH_f (0 K)   11 kJ/mol of atoms
Crystal system   orthorhombic
ΔE to the lowest computed polymorph   71 meV/atom

=====

# 13
Below is Ca2LaY after structural relaxation, with properties calculated at the GGA-PBE level.

```
data_Ca2LaY
_chemical_formula_sum 'Ca2 La1 Y1'
_cell_length_a 5.923
_cell_length_b 5.923
_cell_length_c 4.273
_cell_angle_alpha 90.00
_cell_angle_beta 90.00
_cell_angle_gamma 90.00
_symmetry_space_group_name_H-M 'P 4/m m m'
_symmetry_Int_Tables_number 123
_symmetry_space_group_name_Hall '-P 4 2'
loop_
_atom_site_label
_atom_site_fract_x
_atom_site_fract_y
_atom_site_fract_z
Ca1 0.000 0.500 0.000
La1 0.000 0.000 0.500
Y1 0.500 0.500 0.500
```

Properties
ΔH_f (0 K)   13 kJ/mol of atoms
Crystal system   tetragonal
ΔE to the lowest computed polymorph   96 meV/atom

=====

# 14
Below is Ca2LaY after structural relaxation, with properties calculated at the GGA-PBE level.

```
data_Ca2LaY
_chemical_formula_sum 'Ca4 La2 Y2'
_cell_length_a 5.970
_cell_length_b 5.970
_cell_length_c 8.462
_cell_angle_alpha 90.00
_cell_angle_beta 90.00
_cell_angle_gamma 90.00
_symmetry_space_group_name_H-M 'I -4 m 2'
_symmetry_Int_Tables_number 119
_symmetry_space_group_name_Hall 'I -4 -2'
loop_
_atom_site_label
_atom_site_fract_x
_atom_site_fract_y
_atom_site_fract_z
Ca1 0.000 0.000 0.000
Ca2 0.000 0.500 0.250
La1 0.000 0.500 0.750
Y1 0.000 0.000 0.500
```

Properties
ΔH_f (0 K)   12 kJ/mol of atoms
Crystal system   tetragonal
ΔE to the lowest computed polymorph   86 meV/atom

=====

# 15
Below is Ca4LaY after structural relaxation, with properties calculated at the GGA-PBE level.

```
data_Ca4LaY
_chemical_formula_sum 'Ca16 La4 Y4'
_cell_length_a 9.935
_cell_length_b 9.935
_cell_length_c 9.935
_cell_angle_alpha 90.00
_cell_angle_beta 90.00
_cell_angle_gamma 90.00
_symmetry_space_group_name_H-M 'F -4 3 m'
_symmetry_Int_Tables_number 216
_symmetry_space_group_name_Hall 'F -4 2 3'
loop_
_atom_site_label
_atom_site_fract_x
_atom_site_fract_y
_atom_site_fract_z
Ca1 0.125 0.125 0.125
La1 0.250 0.250 0.750
Y1 0.000 0.000 0.500
```

Properties
ΔH_f (0 K)   27 kJ/mol of atoms
Crystal system   cubic

=====

# 16
Below is CaLa3Y3 after structural relaxation, with properties calculated at the GGA-PBE level.

```
data_CaLa3Y3
_chemical_formula_sum 'Ca2 La6 Y6'
_cell_length_a 6.507
_cell_length_b 8.756
_cell_length_c 9.469
_cell_angle_alpha 85.32
_cell_angle_beta 89.85
_cell_angle_gamma 68.40
_symmetry_space_group_name_H-M 'P -1'
_symmetry_Int_Tables_number 2
_symmetry_space_group_name_Hall '-P 1'
loop_
_atom_site_label
_atom_site_fract_x
_atom_site_fract_y
_atom_site_fract_z
Ca1 0.050 0.076 0.323
La1 0.092 0.634 0.391
La2 0.200 0.784 0.035
La3 0.379 0.072 0.823
Y1 0.236 0.365 0.102
Y2 0.340 0.499 0.747
Y3 0.469 0.220 0.465
```

Properties
ΔH_f (0 K)   5 kJ/mol of atoms
Crystal system   triclinic

=====

# 17
Below is CaLa3Y after structural relaxation, with properties calculated at the GGA-PBE level.

```
data_CaLa3Y
_chemical_formula_sum 'Ca1 La3 Y1'
_cell_length_a 6.016
_cell_length_b 6.016
_cell_length_c 6.016
_cell_angle_alpha 90.00
_cell_angle_beta 90.00
_cell_angle_gamma 90.00
_symmetry_space_group_name_H-M 'P m -3 m'
_symmetry_Int_Tables_number 221
_symmetry_space_group_name_Hall '-P 4 2 3'
loop_
_atom_site_label
_atom_site_fract_x
_atom_site_fract_y
_atom_site_fract_z
Ca1 0.000 0.000 0.000
La1 0.000 0.500 0.500
Y1 0.500 0.500 0.500
```

Properties
ΔH_f (0 K)   48 kJ/mol of atoms
Crystal system   cubic
ΔE to the lowest computed polymorph   359 meV/atom

=====

# 18
Below is CaLa2Y after structural relaxation, with properties calculated at the GGA-PBE level.

```
data_CaLa2Y
_chemical_formula_sum 'Ca1 La2 Y1'
_cell_length_a 3.733
_cell_length_b 5.189
_cell_length_c 7.650
_cell_angle_alpha 90.00
_cell_angle_beta 90.00
_cell_angle_gamma 90.00
_symmetry_space_group_name_H-M 'P m m m'
_symmetry_Int_Tables_number 47
_symmetry_space_group_name_Hall '-P 2 2'
loop_
_atom_site_label
_atom_site_fract_x
_atom_site_fract_y
_atom_site_fract_z
Ca1 0.000 0.000 0.000
La1 0.500 0.500 0.271
Y1 0.000 0.000 0.500
```

Properties
ΔH_f (0 K)   6 kJ/mol of atoms
Crystal system   orthorhombic
ΔE to the lowest computed polymorph   35 meV/atom

=====

# 19
Below is Ca2LaY after structural relaxation, with properties calculated at the GGA-PBE level.

```
data_Ca2LaY
_chemical_formula_sum 'Ca8 La4 Y4'
_cell_length_a 9.367
_cell_length_b 9.367
_cell_length_c 6.818
_cell_angle_alpha 90.00
_cell_angle_beta 90.00
_cell_angle_gamma 90.00
_symmetry_space_group_name_H-M 'I -4 2 d'
_symmetry_Int_Tables_number 122
_symmetry_space_group_name_Hall 'I -4 2bw'
loop_
_atom_site_label
_atom_site_fract_x
_atom_site_fract_y
_atom_site_fract_z
Ca1 0.249 0.250 0.125
La1 0.000 0.000 0.500
Y1 0.000 0.000 0.000
```

Properties
ΔH_f (0 K)   39 kJ/mol of atoms
Crystal system   tetragonal
ΔE to the lowest computed polymorph   360 meV/atom

=====

# 20
Below is CaLaY3 after structural relaxation, with properties calculated at the GGA-PBE level.

```
data_CaLaY3
_chemical_formula_sum 'Ca1 La1 Y3'
_cell_length_a 5.725
_cell_length_b 5.725
_cell_length_c 5.725
_cell_angle_alpha 90.00
_cell_angle_beta 90.00
_cell_angle_gamma 90.00
_symmetry_space_group_name_H-M 'P m -3 m'
_symmetry_Int_Tables_number 221
_symmetry_space_group_name_Hall '-P 4 2 3'
loop_
_atom_site_label
_atom_site_fract_x
_atom_site_fract_y
_atom_site_fract_z
Ca1 0.000 0.000 0.000
La1 0.500 0.500 0.500
Y1 0.000 0.500 0.500
```

Properties
ΔH_f (0 K)   56 kJ/mol of atoms
Crystal system   cubic
ΔE to the lowest computed polymorph   403 meV/atom

=====

Computed calculated volume (Å³/f.u.) in order:
119.5 134.8 146.5 193.4 149.7 148.3 401.8 146.7 179.4 150.8 146.8 150.0 149.9 150.8 245.2 249.9 217.7 148.2 149.6 187.7